Material: MgV2Bi2O10
Method: DFT, PBE with a Hubbard U
State: optimized geometry

a b c (Å): 5.374 11.588 8.257
angles (deg): 90.00 102.07 90.00
Space group P2_1 (No. 4)
Asymmetric unit:
1 Mg 0.057 0.000 0.397 [2 per cell]
2 V 0.315 0.737 0.797 [2 per cell]
3 V 0.355 0.543 0.319 [2 per cell]
4 Bi 0.392 0.297 0.576 [2 per cell]
5 Bi 0.491 0.963 0.083 [2 per cell]
6 O 0.063 0.652 0.717 [2 per cell]
7 O 0.186 0.457 0.442 [2 per cell]
8 O 0.194 0.391 0.767 [2 per cell]
9 O 0.244 0.840 0.945 [2 per cell]
10 O 0.245 0.680 0.314 [2 per cell]
11 O 0.310 0.492 0.108 [2 per cell]
12 O 0.331 0.062 0.586 [2 per cell]
13 O 0.335 0.927 0.294 [2 per cell]
14 O 0.410 0.812 0.642 [2 per cell]
15 O 0.430 0.143 0.105 [2 per cell]

Output
- Total energy: -0.4770 Ry/atom